{"formula": "Y3PPb", "functional": "PBE", "state": "optimized geometry", "lattice_angstrom": [[8.0688, 0.0000, 0.0000], [0.0000, 9.7090, 0.0000], [0.0000, 0.0000, 7.3813]], "species": ["Y", "Y", "Y", "Y", "Y", "Y", "Y", "Y", "Y", "Y", "Y", "Y", "P", "P", "P", "P", "Pb", "Pb", "Pb", "Pb"], "frac_coords": [[0.1141, 0.2500, 0.2128], [0.1577, 0.0619, 0.6425], [0.1577, 0.4381, 0.6425], [0.3423, 0.5619, 0.1425], [0.3423, 0.9381, 0.1425], [0.3859, 0.7500, 0.7128], [0.6141, 0.2500, 0.2872], [0.6577, 0.0619, 0.8575], [0.6577, 0.4381, 0.8575], [0.8423, 0.5619, 0.3575], [0.8423, 0.9381, 0.3575], [0.8859, 0.7500, 0.7872], [0.0955, 0.7500, 0.4786], [0.4045, 0.2500, 0.9786], [0.5955, 0.7500, 0.0214], [0.9045, 0.2500, 0.5214], [0.0000, 0.0000, 0.0000], [0.0000, 0.5000, 0.0000], [0.5000, 0.0000, 0.5000], [0.5000, 0.5000, 0.5000]], "spacegroup": "Pnma"}


{"formula": "YPPb", "functional": "PBE", "state": "optimized geometry", "lattice_angstrom": [[3.8913, 0.0000, 0.0000], [-1.9457, 3.3700, 0.0000], [0.0000, 0.0000, 24.9459]], "species": ["Y", "Y", "Y", "Y", "P", "P", "P", "P", "Pb", "Pb", "Pb", "Pb"], "frac_coords": [[0.3333, 0.6667, 0.3046], [0.3333, 0.6667, 0.4415], [0.6667, 0.3333, 0.5585], [0.6667, 0.3333, 0.6954], [0.3333, 0.6667, 0.1329], [0.3333, 0.6667, 0.6283], [0.6667, 0.3333, 0.3717], [0.6667, 0.3333, 0.8671], [0.3333, 0.6667, 0.7981], [0.3333, 0.6667, 0.9423], [0.6667, 0.3333, 0.0577], [0.6667, 0.3333, 0.2019]], "spacegroup": "P-3m1"}


{"formula": "YP2Pb", "functional": "PBE", "state": "optimized geometry", "lattice_angstrom": [[4.1000, 0.0000, 0.0000], [-2.0500, 3.5507, 0.0000], [0.0000, 0.0000, 21.2498]], "species": ["Y", "Y", "Y", "P", "P", "P", "P", "P", "P", "Pb", "Pb", "Pb"], "frac_coords": [[0.0000, 0.0000, 0.0000], [0.3333, 0.6667, 0.6667], [0.6667, 0.3333, 0.3333], [0.0000, 0.0000, 0.4843], [0.0000, 0.0000, 0.7253], [0.3333, 0.6667, 0.1510], [0.3333, 0.6667, 0.3920], [0.6667, 0.3333, 0.0587], [0.6667, 0.3333, 0.8176], [0.0000, 0.0000, 0.2145], [0.3333, 0.6667, 0.8812], [0.6667, 0.3333, 0.5478]], "spacegroup": "R3m"}


{"formula": "YPPb2", "functional": "PBE", "state": "optimized geometry", "lattice_angstrom": [[3.8213, 0.0000, 0.0000], [0.0000, 3.9057, 0.0000], [0.0000, 0.0000, 15.6735]], "species": ["Y", "Y", "P", "P", "Pb", "Pb", "Pb", "Pb"], "frac_coords": [[0.0000, 0.0000, 0.0000], [0.5000, 0.5000, 0.5000], [0.0000, 0.0000, 0.5000], [0.5000, 0.5000, 0.0000], [0.0000, 0.5000, 0.3147], [0.0000, 0.5000, 0.6853], [0.5000, 0.0000, 0.1853], [0.5000, 0.0000, 0.8147]], "spacegroup": "Immm"}


{"formula": "Y3PPb", "functional": "PBE", "state": "optimized geometry", "lattice_angstrom": [[8.0453, 0.0000, 0.0000], [0.0000, 10.3671, 0.0000], [0.0000, 0.0000, 6.6337]], "species": ["Y", "Y", "Y", "Y", "Y", "Y", "Y", "Y", "Y", "Y", "Y", "Y", "P", "P", "P", "P", "Pb", "Pb", "Pb", "Pb"], "frac_coords": [[0.0347, 0.2500, 0.1248], [0.1845, 0.0545, 0.6558], [0.1845, 0.4455, 0.6558], [0.3155, 0.5545, 0.1558], [0.3155, 0.9455, 0.1558], [0.4653, 0.7500, 0.6248], [0.5347, 0.2500, 0.3752], [0.6845, 0.0545, 0.8442], [0.6845, 0.4455, 0.8442], [0.8155, 0.5545, 0.3442], [0.8155, 0.9455, 0.3442], [0.9653, 0.7500, 0.8752], [0.0000, 0.0000, 0.0000], [0.0000, 0.5000, 0.0000], [0.5000, 0.0000, 0.5000], [0.5000, 0.5000, 0.5000], [0.1090, 0.7500, 0.4319], [0.3910, 0.2500, 0.9319], [0.6090, 0.7500, 0.0681], [0.8910, 0.2500, 0.5681]], "spacegroup": "Pnma"}


{"formula": "Y3PPb", "functional": "PBE", "state": "optimized geometry", "lattice_angstrom": [[3.0621, -8.7039, 0.0000], [3.0621, 8.7039, 0.0000], [0.0000, 0.0000, 5.9257]], "species": ["Y", "Y", "Y", "Y", "Y", "Y", "P", "P", "Pb", "Pb"], "frac_coords": [[0.0000, 0.0000, 0.0000], [0.0000, 0.0000, 0.5000], [0.0787, 0.4196, 0.2500], [0.4196, 0.0787, 0.7500], [0.5804, 0.9213, 0.2500], [0.9213, 0.5804, 0.7500], [0.4519, 0.5481, 0.2500], [0.5481, 0.4519, 0.7500], [0.1655, 0.8345, 0.2500], [0.8345, 0.1655, 0.7500]], "spacegroup": "Cmcm"}


{"formula": "YPPb2", "functional": "PBE", "state": "optimized geometry", "lattice_angstrom": [[5.9504, 0.0000, 0.0000], [0.0000, 6.0061, 0.0000], [0.0000, 0.0000, 6.2210]], "species": ["Y", "Y", "P", "P", "Pb", "Pb", "Pb", "Pb"], "frac_coords": [[0.0000, 0.0000, 0.0000], [0.5000, 0.5000, 0.0000], [0.0000, 0.5000, 0.0000], [0.5000, 0.0000, 0.0000], [0.2488, 0.5000, 0.5000], [0.2512, 0.0000, 0.5000], [0.7488, 0.0000, 0.5000], [0.7512, 0.5000, 0.5000]], "spacegroup": "Cmmm"}


{"formula": "Y3PPb", "functional": "PBE", "state": "optimized geometry", "lattice_angstrom": [[-2.7821, 2.7821, 11.5819], [2.7821, -2.7821, 11.5819], [2.7821, 2.7821, -11.5819]], "species": ["Y", "Y", "Y", "Y", "Y", "Y", "P", "P", "Pb", "Pb"], "frac_coords": [[0.2015, 0.2015, 0.0000], [0.3736, 0.1361, 0.7625], [0.3736, 0.6111, 0.2375], [0.3889, 0.6264, 0.7625], [0.7985, 0.7985, 0.0000], [0.8639, 0.6264, 0.2375], [0.6528, 0.1528, 0.5000], [0.8472, 0.3472, 0.5000], [0.2500, 0.7500, 0.5000], [0.5000, 0.5000, 0.0000]], "spacegroup": "I-4m2"}


Ordered V results: 578.3 327.1 309.4 233.9 553.3 315.9 222.3 358.6; unit Å³/cell.
Ordered spin magnetization results: 0.0 0.0 0.0 0.0 0.0 0.0 0.0 0.0; unit μB per formula unit.
Ordered E_form results: -0.55 -0.38 -0.08 -0.47 -0.91 -0.15 -0.25 0.06; unit eV per atom.